Below is a geometry-optimized LaTbAg2Bi4 structure, with properties calculated at the PBE level.

Lattice parameters (Å, degrees): 4.5804 4.5804 10.4613 90.00 90.00 90.00
Atoms (fractional coordinates):
Ag 0.5000 0.0000 0.9959
Ag 0.0000 0.5000 0.9959
Bi 0.5000 0.5000 0.1817
Bi 0.5000 0.0000 0.5062
Bi 0.0000 0.5000 0.5062
Bi 0.0000 0.0000 0.8124
La 0.0000 0.0000 0.2519
Tb 0.5000 0.5000 0.7497

## Properties
Total DFT energy (no corrections)   -35.65 eV/f.u.
Space-group type   No. 99